1) MgSe3Cl (PBE-GGA, optimized geometry); magnetic moment = 0.000 μB/f.u.; space group = Pm-3m, No. 221
1.0
4.991 0.000 0.000
0.000 4.991 0.000
0.000 0.000 4.991
Mg Se Cl
1 3 1
direct
0.000 0.000 0.000 Mg
0.000 0.500 0.500 Se
0.500 0.000 0.500 Se
0.500 0.500 0.000 Se
0.500 0.500 0.500 Cl

2) MgSe3Cl (PBE-GGA, optimized geometry); magnetic moment = 0.000 μB/f.u.; space group = Pm-3m, No. 221
1.0
5.049 0.000 0.000
0.000 5.049 0.000
0.000 0.000 5.049
Mg Se Cl
1 3 1
direct
0.000 0.000 0.000 Mg
0.000 0.000 0.500 Se
0.000 0.500 0.000 Se
0.500 0.000 0.000 Se
0.500 0.500 0.500 Cl

Computed relative energies in units of eV/atom: 1) 0.198; 2) 0.000

1) Mg2SiCl (PBE-GGA, optimized geometry); magnetic moment = 0.000 μB/f.u.; space group = C2/m, No. 12
1.0
3.893 -1.658 0.000
3.893 1.658 0.000
-3.871 0.000 6.908
Mg Si Cl
2 1 1
direct
0.188 0.188 0.295 Mg
0.812 0.812 0.705 Mg
0.000 0.000 0.500 Si
0.500 0.500 0.000 Cl

2) Mg2SiCl (PBE-GGA, optimized geometry); magnetic moment = 0.000 μB/f.u.; space group = F-43m, No. 216
1.0
0.000 3.471 3.471
3.471 0.000 3.471
3.471 3.471 0.000
Mg Si Cl
2 1 1
direct
0.000 0.000 0.000 Mg
0.250 0.250 0.250 Mg
0.750 0.750 0.750 Si
0.500 0.500 0.500 Cl

3) Mg2SiCl (PBE-GGA, optimized geometry); magnetic moment = 0.000 μB/f.u.; space group = Cmm2, No. 35
1.0
2.186 -2.197 0.000
2.186 2.197 0.000
0.000 0.000 9.880
Mg Si Cl
2 1 1
direct
0.000 0.000 0.000 Mg
0.500 0.500 0.254 Mg
0.500 0.500 0.809 Si
0.000 0.000 0.397 Cl

Computed relative energies in units of eV/atom: 1) 0.000; 2) 0.782; 3) 0.336

1) MgSiCl3 (PBE-GGA, optimized geometry); magnetic moment = 1.000 μB/f.u.; space group = Pm-3m, No. 221
1.0
4.905 0.000 0.000
0.000 4.905 0.000
0.000 0.000 4.905
Mg Si Cl
1 1 3
direct
0.000 0.000 0.000 Mg
0.500 0.500 0.500 Si
0.000 0.000 0.500 Cl
0.000 0.500 0.000 Cl
0.500 0.000 0.000 Cl

2) MgSiCl3 (PBE-GGA, optimized geometry); magnetic moment = 0.967 μB/f.u.; space group = Pm-3m, No. 221
1.0
5.051 0.000 0.000
0.000 5.051 0.000
0.000 0.000 5.051
Mg Si Cl
1 1 3
direct
0.000 0.000 0.000 Mg
0.500 0.500 0.500 Si
0.000 0.500 0.500 Cl
0.500 0.000 0.500 Cl
0.500 0.500 0.000 Cl

Computed relative energies in units of eV/atom: 1) 0.000; 2) 0.169

1) MgSnCl2 (PBE-GGA, optimized geometry); magnetic moment = 0.000 μB/f.u.; space group = R-3m, No. 166
1.0
1.787 1.032 9.517
-1.787 1.032 9.517
0.000 -2.064 9.517
Mg Sn Cl
1 1 2
direct
0.000 0.000 0.000 Mg
0.500 0.500 0.500 Sn
0.084 0.084 0.084 Cl
0.916 0.916 0.916 Cl

2) MgSnCl2 (PBE-GGA, optimized geometry); magnetic moment = 0.000 μB/f.u.; space group = I-42d, No. 122
1.0
-3.574 3.574 5.063
3.574 -3.574 5.063
3.574 3.574 -5.063
Mg Sn Cl
2 2 4
direct
0.000 0.000 0.000 Mg
0.750 0.250 0.500 Mg
0.250 0.750 0.500 Sn
0.500 0.500 0.000 Sn
0.375 0.241 0.366 Cl
0.759 0.125 0.134 Cl
0.875 0.009 0.634 Cl
0.991 0.625 0.866 Cl

3) MgSnCl2 (PBE-GGA, optimized geometry); magnetic moment = 0.000 μB/f.u.; space group = Fm-3m, No. 225
1.0
0.000 3.667 3.667
3.667 0.000 3.667
3.667 3.667 0.000
Mg Sn Cl
1 1 2
direct
0.000 0.000 0.000 Mg
0.500 0.500 0.500 Sn
0.250 0.250 0.250 Cl
0.750 0.750 0.750 Cl

Computed relative energies in units of eV/atom: 1) 0.059; 2) 0.000; 3) 0.276

1) Mg2Sn2Cl (PBE-GGA, optimized geometry); magnetic moment = 0.000 μB/f.u.; space group = I4/mmm, No. 139
1.0
-2.091 2.091 7.696
2.091 -2.091 7.696
2.091 2.091 -7.696
Mg Sn Cl
2 2 1
direct
0.098 0.098 0.000 Mg
0.902 0.902 0.000 Mg
0.250 0.750 0.500 Sn
0.750 0.250 0.500 Sn
0.500 0.500 0.000 Cl

2) Mg2Sn2Cl (PBE-GGA, optimized geometry); magnetic moment = 0.000 μB/f.u.; space group = P4/mbm, No. 127
1.0
7.928 0.000 0.000
0.000 7.928 0.000
0.000 0.000 4.086
Mg Sn Cl
4 4 2
direct
0.180 0.320 0.000 Mg
0.320 0.820 0.000 Mg
0.680 0.180 0.000 Mg
0.820 0.680 0.000 Mg
0.124 0.624 0.500 Sn
0.376 0.124 0.500 Sn
0.624 0.876 0.500 Sn
0.876 0.376 0.500 Sn
0.000 0.000 0.000 Cl
0.500 0.500 0.000 Cl

Computed relative energies in units of eV/atom: 1) 0.097; 2) 0.000

1) MgSn3Cl (PBE-GGA, optimized geometry); magnetic moment = 0.000 μB/f.u.; space group = Pm-3m, No. 221
1.0
5.398 0.000 0.000
0.000 5.398 0.000
0.000 0.000 5.398
Mg Sn Cl
1 3 1
direct
0.000 0.000 0.000 Mg
0.000 0.500 0.500 Sn
0.500 0.000 0.500 Sn
0.500 0.500 0.000 Sn
0.500 0.500 0.500 Cl

2) MgSn3Cl (PBE-GGA, optimized geometry); magnetic moment = 0.000 μB/f.u.; space group = Pm-3m, No. 221
1.0
5.467 0.000 0.000
0.000 5.467 0.000
0.000 0.000 5.467
Mg Sn Cl
1 3 1
direct
0.000 0.000 0.000 Mg
0.000 0.000 0.500 Sn
0.000 0.500 0.000 Sn
0.500 0.000 0.000 Sn
0.500 0.500 0.500 Cl

Computed relative energies in units of eV/atom: 1) 0.047; 2) 0.000